No. 1
Computed, not measured: a relaxed CsSc2ZnIr crystal at the PBE level of DFT.

Properties
Spin magnetization, μB/f.u.: 0.000
ΔE_f, meV per atom: -19

```
5
Lattice="5.1401 0.0000 0.0000 0.0000 5.1401 0.0000 0.0000 0.0000 5.2100" Properties=species:S:1:pos:R:3 pbc="T T T"
Cs 0.0000 0.0000 0.0000
Sc 0.0000 2.5701 2.6050
Sc 2.5701 0.0000 2.6050
Zn 2.5701 2.5701 0.0000
Ir 2.5701 2.5701 2.6050
```

***

No. 2
Computed, not measured: a relaxed SmEr2Sc crystal at the PBE level of DFT.

Properties
Spin magnetization, μB/f.u.: 0.000
ΔE_f, meV per atom: 40
Offset from the most stable computed form, meV per atom: 13

```
4
Lattice="1.7552 1.0134 11.1773 -1.7552 1.0134 11.1773 0.0000 -2.0268 11.1773" Properties=species:S:1:pos:R:3 pbc="T T T"
Sm 0.0000 0.0000 0.0000
Er 0.0000 0.0000 8.2752
Er 0.0000 0.0000 14.1151
Sc 0.0000 0.0000 27.9755
```

***

Number 1: total energy -23.746 eV/cell. Number 2: total energy -20.015 eV/cell.